Material: LuZnAgGe
Method: DFT, PBE
State: relaxed

```
data_LuZnAgGe
_cell_length_a 6.7278
_cell_length_b 6.7278
_cell_length_c 6.7278
_cell_angle_alpha 90.00
_cell_angle_beta 90.00
_cell_angle_gamma 90.00
_space_group_name_H-M_alt 'F -4 3 m'
_space_group_IT_number 216
_space_group_name_Hall 'F -4 2 3'
loop_
_atom_site_label
_atom_site_fract_x
_atom_site_fract_y
_atom_site_fract_z
_atom_site_occupancy
Lu1 0.0000 0.0000 0.0000 1
Zn1 0.2500 0.2500 0.7500 1
Ag1 0.0000 0.0000 0.5000 1
Ge1 0.2500 0.2500 0.2500 1
```

VASP energy ... -3.59 eV/atom
Calculated density ... 9.18 g/cm3
V ... 19.03 Å³/atom

***

Material: Mg5Ag6Ge
Method: DFT, PBE
State: relaxed

```
data_Mg5Ag6Ge
_cell_length_a 8.3060
_cell_length_b 13.8283
_cell_length_c 4.5876
_cell_angle_alpha 90.00
_cell_angle_beta 123.15
_cell_angle_gamma 90.00
_space_group_name_H-M_alt 'C 1 2/m 1'
_space_group_IT_number 12
_space_group_name_Hall '-C 2y'
loop_
_atom_site_label
_atom_site_fract_x
_atom_site_fract_y
_atom_site_fract_z
_atom_site_occupancy
Mg1 0.0000 0.0000 0.0000 1
Mg2 0.0000 0.1673 0.5000 1
Mg3 0.0000 0.3354 0.0000 1
Ag1 0.2444 0.0000 0.7421 1
Ag2 0.2476 0.1677 0.2471 1
Ge1 0.0000 0.5000 0.5000 1
```

VASP energy ... -2.65 eV/atom
Calculated density ... 6.33 g/cm3
V ... 18.38 Å³/atom